[1]
KTcNi: optimized geometry, PBE-GGA.

* space-group type: I4mm
* energy relative to the lowest polymorph listed for this composition: 0.382 eV per atom
* crystal system: tetragonal
* uncorrected energy: -14.82 eV per cell
* calculated formation energy: 0.807 eV per atom

Unit cell a=7.2817 b=7.2818 c=2.8796 alpha=78.59 beta=78.60 gamma=22.81
Closest atoms and distances in Å follow each position.
Fractional positions:
1 Tc 0.2957 0.2957 0.7044  4 Ni 2.45
2 K 0.0063 0.0063 0.9937  4 K 2.88
3 Ni 0.6980 0.6980 0.3020  4 Tc 2.45

***

[2]
HfNbBi: optimized geometry, PBE-GGA.

* space-group type: I4mm
* crystal system: tetragonal
* uncorrected energy: -23.90 eV per cell
* calculated formation energy: 0.003 eV per atom

Unit cell a=3.6995 b=3.6995 c=5.4296 alpha=109.92 beta=109.92 gamma=90.00
Closest atoms and distances in Å follow each position.
Fractional positions:
1 Nb 0.2866 0.2866 0.5732  5 Hf 3.01-3.27, 5 Bi 3.06-3.18
2 Bi 0.6206 0.6206 0.2412  5 Nb 3.06-3.18, 5 Hf 3.07-3.12
3 Hf 0.9428 0.9428 0.8856  5 Nb 3.01-3.27, 5 Bi 3.07-3.12

***

[3]
Cr2W: optimized geometry, PBE-GGA.

* space-group type: Pnnm
* energy relative to the lowest polymorph listed for this composition: 0.195 eV per atom
* crystal system: orthorhombic
* uncorrected energy: -62.91 eV per cell
* calculated formation energy: 0.248 eV per atom

Unit cell a=2.5659 b=4.2578 c=7.3937 alpha=90.00 beta=90.00 gamma=90.00
Closest atoms and distances in Å follow each position.
Fractional positions:
1 W 0.5000 0.5000 0.5000  6 Cr 2.54-2.57, 2 W 2.57
2 W 0.0000 0.0000 0.0000  6 Cr 2.54-2.57, 2 W 2.57
3 Cr 0.6930 0.5000 0.1630  3 W 2.54-2.57, 7 Cr 2.57-2.80
4 Cr 0.8070 0.0000 0.6630  3 W 2.54-2.57, 7 Cr 2.57-2.80
5 Cr 0.1930 0.0000 0.3370  3 W 2.54-2.57, 7 Cr 2.57-2.80
6 Cr 0.3070 0.5000 0.8370  3 W 2.54-2.57, 7 Cr 2.57-2.80

***

[4]
DyYLu4: optimized geometry, PBE-GGA.

* space-group type: F-43m
* crystal system: cubic
* uncorrected energy: -27.55 eV per cell
* calculated formation energy: 0.267 eV per atom

Unit cell a=6.4788 b=6.4788 c=6.4788 alpha=60.00 beta=60.00 gamma=60.00
Closest atoms and distances in Å follow each position.
Fractional positions:
1 Dy 0.2500 0.2500 0.2500  12 Lu 3.80, 4 Y 3.97
2 Y 0.0000 0.0000 0.0000  12 Lu 3.80, 4 Dy 3.97
3 Lu 0.1247 0.6251 0.6251  6 Lu 3.24
4 Lu 0.6251 0.6251 0.1247  6 Lu 3.24
5 Lu 0.6251 0.6251 0.6251  6 Lu 3.24
6 Lu 0.6251 0.1247 0.6251  6 Lu 3.24

***

[5]
Rb3AsPd: optimized geometry, PBE-GGA.

* space-group type: P2_13
* energy relative to the lowest polymorph listed for this composition: 0.000 eV per atom
* crystal system: cubic
* uncorrected energy: -49.78 eV per cell
* calculated formation energy: 0.060 eV per atom

Unit cell a=8.6919 b=8.6919 c=8.6919 alpha=90.00 beta=90.00 gamma=90.00
Closest atoms and distances in Å follow each position.
Fractional positions:
1 As 0.9317 0.5683 0.4317  3 Pd 3.21, 6 Rb 3.54-3.56
2 As 0.5683 0.4317 0.9317  3 Pd 3.21, 6 Rb 3.54-3.56
3 As 0.0683 0.0683 0.0683  3 Pd 3.21, 6 Rb 3.54-3.56
4 As 0.4317 0.9317 0.5683  3 Pd 3.21, 6 Rb 3.54-3.56
5 Rb 0.6391 0.3100 0.5467  2 Pd 3.36-3.63, 3 As 3.54-3.75, 4 Rb 3.59-3.61
6 Rb 0.9533 0.3609 0.8100  2 Pd 3.36-3.63, 3 As 3.54-3.75, 4 Rb 3.59-3.61
7 Rb 0.5467 0.6391 0.3100  2 Pd 3.36-3.63, 3 As 3.54-3.75, 4 Rb 3.59-3.61
8 Rb 0.1391 0.1900 0.4533  2 Pd 3.36-3.63, 3 As 3.54-3.75, 4 Rb 3.59-3.61
9 Rb 0.8100 0.9533 0.3609  2 Pd 3.36-3.63, 3 As 3.54-3.75, 4 Rb 3.59-3.61
10 Rb 0.4533 0.1391 0.1900  2 Pd 3.36-3.63, 3 As 3.54-3.75, 4 Rb 3.59-3.61
11 Rb 0.3100 0.5467 0.6391  2 Pd 3.36-3.63, 3 As 3.54-3.75, 4 Rb 3.59-3.61
12 Rb 0.6900 0.0467 0.8609  2 Pd 3.36-3.63, 3 As 3.54-3.75, 4 Rb 3.59-3.61
13 Rb 0.0467 0.8609 0.6900  2 Pd 3.36-3.63, 3 As 3.54-3.75, 4 Rb 3.59-3.61
14 Rb 0.3609 0.8100 0.9533  2 Pd 3.36-3.63, 3 As 3.54-3.75, 4 Rb 3.59-3.61
15 Rb 0.8609 0.6900 0.0467  2 Pd 3.36-3.63, 3 As 3.54-3.75, 4 Rb 3.59-3.61
16 Rb 0.1900 0.4533 0.1391  2 Pd 3.36-3.63, 3 As 3.54-3.75, 4 Rb 3.59-3.61
17 Pd 0.1739 0.8261 0.3261  3 As 3.21, 3 Rb 3.36
18 Pd 0.6739 0.6739 0.6739  3 As 3.21, 3 Rb 3.36
19 Pd 0.3261 0.1739 0.8261  3 As 3.21, 3 Rb 3.36
20 Pd 0.8261 0.3261 0.1739  3 As 3.21, 3 Rb 3.36

***

[6]
Na2BiIr: optimized geometry, PBE-GGA.

* space-group type: I-42d
* crystal system: tetragonal
* uncorrected energy: -28.59 eV per cell
* calculated formation energy: 0.271 eV per atom

Unit cell a=11.3965 b=11.3965 c=8.4478 alpha=47.58 beta=47.58 gamma=90.00
Closest atoms and distances in Å follow each position.
Fractional positions:
1 Ir 0.5000 0.5000 0.0000  2 Bi 2.53
2 Ir 0.2500 0.7500 0.5000  2 Bi 2.53
3 Na 0.8750 0.6266 0.7500  2 Ir 2.92
4 Na 0.3734 0.6250 0.2500  2 Ir 2.92
5 Na 0.3766 0.1250 0.2500  2 Ir 2.92
6 Na 0.3750 0.6234 0.7500  2 Ir 2.92
7 Bi 0.0000 0.0000 0.0000  2 Ir 2.53
8 Bi 0.7500 0.2500 0.5000  2 Ir 2.53

***

[7]
NbNi2SnH: optimized geometry, PBE-GGA.

* space-group type: P4/mmm
* crystal system: tetragonal
* uncorrected energy: -29.54 eV per cell

Unit cell a=3.9582 b=3.9582 c=4.0340 alpha=90.00 beta=90.00 gamma=90.00
Closest atoms and distances in Å follow each position.
Fractional positions:
1 Nb 0.0000 0.0000 0.5000  2 H 2.02
2 Ni 0.0000 0.5000 0.0000  2 H 1.98
3 Ni 0.5000 0.0000 0.0000  2 H 1.98
4 Sn 0.5000 0.5000 0.5000  4 Nb 2.80, 8 Ni 2.83
5 H 0.0000 0.0000 0.0000  4 Ni 1.98, 2 Nb 2.02

***

[8]
YTi2PdC: optimized geometry, PBE-GGA.

* space-group type: P4/mmm
* crystal system: tetragonal
* uncorrected energy: -38.75 eV per cell
* calculated formation energy: -0.416 eV per atom

Unit cell a=4.1785 b=4.1785 c=4.9034 alpha=90.00 beta=90.00 gamma=90.00
Closest atoms and distances in Å follow each position.
Fractional positions:
1 Pd 0.5000 0.5000 0.5000  4 Y 2.95, 8 Ti 3.22
2 Ti 0.5000 0.0000 0.0000  2 C 2.09
3 Ti 0.0000 0.5000 0.0000  2 C 2.09
4 C 0.0000 0.0000 0.0000  4 Ti 2.09
5 Y 0.0000 0.0000 0.5000  2 C 2.45

***

[9]
Ac2PrTc2N6: optimized geometry, PBE-GGA.

* space-group type: R-3m
* uncorrected formation energy: -0.668 eV per atom
* crystal system: trigonal
* uncorrected energy: -91.03 eV per cell

Unit cell a=5.9116 b=5.9116 c=7.1998 alpha=65.76 beta=65.76 gamma=60.00
Closest atoms and distances in Å follow each position.
Fractional positions:
1 N 0.2319 0.7377 0.2927  1 Tc 1.80
2 N 0.7377 0.2319 0.2927  1 Tc 1.80
3 N 0.7377 0.7377 0.2927  1 Tc 1.80
4 N 0.2623 0.7681 0.7073  1 Tc 1.80
5 N 0.2623 0.2623 0.7073  1 Tc 1.80
6 N 0.7681 0.2623 0.7073  1 Tc 1.80
7 Tc 0.5960 0.5960 0.2121  3 N 1.80
8 Tc 0.4040 0.4040 0.7879  3 N 1.80
9 Ac 0.2112 0.2112 0.3663  9 N 2.74-2.99
10 Ac 0.7888 0.7888 0.6337  9 N 2.74-2.99
11 Pr 0.0000 0.0000 0.0000  6 N 2.51

***

[10]
TcB2Pd2: optimized geometry, PBE-GGA.

* space-group type: P4/mbm
* crystal system: tetragonal
* uncorrected energy: -66.01 eV per cell
* calculated formation energy: 0.220 eV per atom

Unit cell a=6.3875 b=6.3875 c=2.7884 alpha=90.00 beta=90.00 gamma=90.00
Closest atoms and distances in Å follow each position.
Fractional positions:
1 Tc 0.0000 0.0000 0.0000  4 B 2.40
2 Tc 0.5000 0.5000 0.0000  4 B 2.40
3 Pd 0.3497 0.1503 0.5000  6 B 2.21-2.42
4 Pd 0.6503 0.8497 0.5000  6 B 2.21-2.42
5 Pd 0.8497 0.3497 0.5000  6 B 2.21-2.42
6 Pd 0.1503 0.6503 0.5000  6 B 2.21-2.42
7 B 0.3401 0.8401 0.0000  6 Pd 2.21-2.42, 2 Tc 2.40
8 B 0.8401 0.6599 0.0000  6 Pd 2.21-2.42, 2 Tc 2.40
9 B 0.6599 0.1599 0.0000  6 Pd 2.21-2.42, 2 Tc 2.40
10 B 0.1599 0.3401 0.0000  6 Pd 2.21-2.42, 2 Tc 2.40

***

[11]
AuSe2Br: optimized geometry, PBE-GGA.

* space-group type: C2/m
* uncorrected formation energy: -0.072 eV per atom
* crystal system: monoclinic
* uncorrected energy: -12.21 eV per cell

Unit cell a=4.7865 b=4.7865 c=7.1316 alpha=82.62 beta=82.62 gamma=46.54
Closest atoms and distances in Å follow each position.
Fractional positions:
1 Se 0.1184 0.1184 0.9417  2 Au 2.52, 1 Br 2.62
2 Se 0.3816 0.3816 0.5583  2 Au 2.52, 1 Br 2.62
3 Au 0.7500 0.7500 0.7500  4 Se 2.52
4 Br 0.2500 0.2500 0.2500  2 Se 2.62

***

[12]
TlIn2Sb: optimized geometry, PBE-GGA.

* space-group type: Pm
* uncorrected formation energy: 0.031 eV per atom
* energy relative to the lowest polymorph listed for this composition: 0.011 eV per atom
* crystal system: monoclinic
* uncorrected energy: -11.84 eV per cell

Unit cell a=5.0778 b=3.4026 c=6.7821 alpha=81.43 beta=90.00 gamma=90.00
Closest atoms and distances in Å follow each position.
Fractional positions:
1 In 0.5000 0.4733 0.2382  2 Sb 3.12, 6 In 3.35-3.40, 1 Tl 3.38
2 In 0.0000 0.0508 0.0256  6 In 3.35-3.40, 2 Sb 3.41-3.53, 4 Tl 3.52-3.74
3 Sb 0.0000 0.2709 0.5004  3 In 3.12-3.41, 2 Sb 3.40, 4 Tl 3.43-3.45
4 Tl 0.5000 0.7050 0.7359  6 In 3.38-3.74, 2 Tl 3.40, 4 Sb 3.43-3.45

***

[13]
Na2InAg: optimized geometry, PBE-GGA.

* space-group type: I-42d
* crystal system: tetragonal
* uncorrected energy: -15.94 eV per cell
* calculated formation energy: 0.064 eV per atom

Unit cell a=8.5961 b=8.5961 c=6.7158 alpha=50.21 beta=50.21 gamma=90.00
Closest atoms and distances in Å follow each position.
Fractional positions:
1 In 0.0000 0.0000 0.0000  2 Ag 2.86
2 In 0.7500 0.2500 0.5000  2 Ag 2.86
3 Ag 0.2500 0.7500 0.5000  2 In 2.86, 4 Na 2.94
4 Ag 0.5000 0.5000 0.0000  2 In 2.86, 4 Na 2.94
5 Na 0.8750 0.8424 0.7500  2 Na 2.91, 2 Ag 2.94
6 Na 0.5924 0.1250 0.2500  2 Na 2.91, 2 Ag 2.94
7 Na 0.1576 0.6250 0.2500  2 Na 2.91, 2 Ag 2.94
8 Na 0.3750 0.4076 0.7500  2 Na 2.91, 2 Ag 2.94